Here is a geometry-optimized KTcOs structure from Alexandria via LeMat-Bulk. Energies are from PBE.

Lattice parameters (Å, degrees): 2.8266 2.8266 8.0738 90.00 90.00 120.00
Space group P3m1 (No. 156)
Unique sites:
K: 0.0000 0.0000 0.0000 [1 per cell]
Tc: 0.3333 0.6667 0.6171 [1 per cell]
Os: 0.6667 0.3333 0.3690 [1 per cell]

Summary:
total magnetic moment	0.000	μB per atom
energy of formation from the pure elements	883	meV per atom


Here is a geometry-optimized TcPbAu structure from Alexandria via LeMat-Bulk. Energies are from PBE.

Lattice parameters (Å, degrees): 3.1780 3.1780 12.1128 90.00 90.00 90.00
Space group I4mm (No. 107)
Unique sites:
Tc: 0.0000 0.0000 0.0000 [2 per cell]
Pb: 0.0000 0.0000 0.3328 [2 per cell]
Au: 0.0000 0.0000 0.6406 [2 per cell]

Summary:
total magnetic moment	0.709	μB per atom
energy of formation from the pure elements	624	meV per atom


Here is a geometry-optimized CoIrOs structure from Alexandria via LeMat-Bulk. Energies are from PBE.

Lattice parameters (Å, degrees): 2.6884 2.6884 6.4322 90.00 90.00 120.00
Space group P3m1 (No. 156)
Unique sites:
Co: 0.0000 0.0000 0.0000 [1 per cell]
Ir: 0.6667 0.3333 0.3317 [1 per cell]
Os: 0.3333 0.6667 0.6818 [1 per cell]

Summary:
total magnetic moment	0.435	μB per atom
energy of formation from the pure elements	108	meV per atom


| no. | E above lowest polymorph (kcal/mol of atoms) | density (Mg/m³) |
| --- | --- | --- |
| 1 | 0.163 | 9.7 |
| 2 | 0.000 | 13.6 |
| 3 | 1.617 | 18.2 |